Density functional theory data (GGA-PBE) for PaCdN after structural relaxation.

Structure (POSCAR):
```
PaCdN
1.0
1.6343 -11.3280 0.0000
1.6343 11.3280 0.0000
0.0000 0.0000 3.4315
Pa Cd N
2 2 2
Cartesian
1.6343 6.9882 2.5736
1.6343 -6.9882 0.8579
1.6343 1.2565 0.8579
1.6343 -1.2565 2.5736
1.6343 4.4914 2.5736
1.6343 -4.4914 0.8579
```

Values from the calculation:
- Calculated volume: 127.06 Å³/cell
- Uncorrected energy: -42.3 eV per cell
- Theoretical density: 9343 kg/m³
- Formation energy (no corrections): -0.81 eV/atom
- Magnetic moment: 0.00 μB per cell


Density functional theory data (GGA-PBE) for Cd3Au after structural relaxation.

Structure (POSCAR):
```
Cd3Au
1.0
3.0037 -3.3191 0.0000
3.0037 3.3191 0.0000
0.0000 0.0000 4.1623
Cd Au
3 1
Cartesian
0.0000 0.0000 0.0000
1.5018 1.6595 2.0811
1.5018 -1.6595 2.0811
3.0037 0.0000 0.0000
```

Values from the calculation:
- Calculated volume: 82.99 Å³/cell
- Uncorrected energy: -6.4 eV per cell
- Theoretical density: 10689 kg/m³
- Magnetic moment: 0.00 μB per cell


Density functional theory data (GGA-PBE) for AcGa2GeO8 after structural relaxation.

Structure (POSCAR):
```
AcGa2GeO8
1.0
5.2059 0.0000 0.0000
-2.6029 4.5084 0.0000
0.0000 0.0000 6.8849
Ac Ga Ge O
1 2 1 8
Cartesian
0.0000 0.0000 0.0000
0.0000 3.0056 4.8286
2.6029 1.5028 2.0564
0.0000 0.0000 3.4425
-0.6816 1.3188 4.6142
-1.1200 4.4393 4.6142
0.8013 1.2497 2.2707
0.0000 3.0056 6.7542
2.6029 1.5028 0.1307
1.8016 3.2587 4.6142
3.7229 0.0691 2.2707
3.2846 3.1896 2.2707
```

Values from the calculation:
- Calculated volume: 161.59 Å³/cell
- Uncorrected energy: -72.8 eV per cell
- Theoretical density: 5827 kg/m³
- Formation energy (no corrections): -1.53 eV/atom
- Magnetic moment: 3.03 μB per cell


Density functional theory data (GGA-PBE) for SbTe3S after structural relaxation.

Structure (POSCAR):
```
SbTe3S
1.0
5.7457 0.0000 0.0000
0.0000 5.7457 0.0000
0.0000 0.0000 5.7457
Sb Te S
1 3 1
Cartesian
0.0000 0.0000 0.0000
0.0000 0.0000 2.8728
0.0000 2.8728 0.0000
2.8728 0.0000 0.0000
2.8728 2.8728 2.8728
```

Values from the calculation:
- Calculated volume: 189.68 Å³/cell
- Uncorrected energy: -13.1 eV per cell
- Theoretical density: 4698 kg/m³
- Formation energy (no corrections): 0.92 eV/atom
- Magnetic moment: 2.14 μB per cell


Density functional theory data (GGA-PBE) for Tb2DyAlO after structural relaxation.

Structure (POSCAR):
```
Tb2DyAlO
1.0
4.7543 0.0000 0.0000
0.0000 4.7543 0.0000
0.0000 0.0000 4.7201
Tb Dy Al O
2 1 1 1
Cartesian
0.0000 2.3772 0.0000
2.3772 0.0000 0.0000
0.0000 0.0000 2.3601
2.3772 2.3772 2.3601
0.0000 0.0000 0.0000
```

Values from the calculation:
- Calculated volume: 106.69 Å³/cell
- Uncorrected energy: -29.4 eV per cell
- Theoretical density: 8145 kg/m³
- Formation energy (no corrections): -1.37 eV/atom
- Magnetic moment: 0.00 μB per cell


Density functional theory data (GGA-PBE) for AcTb8Ho6 after structural relaxation.

Structure (POSCAR):
```
AcTb8Ho6
1.0
4.5158 2.6072 6.9445
-4.5158 2.6072 6.9445
0.0000 -5.2143 6.9445
Ac Tb Ho
1 8 6
Cartesian
0.0000 0.0000 0.0000
-2.8576 -1.5105 10.9367
-0.1206 -3.2301 9.8967
-2.7370 1.7195 9.8967
0.0000 0.0000 8.8098
0.0000 0.0000 12.0236
2.7370 -1.7195 10.9368
0.1206 3.2301 10.9368
2.8576 1.5106 9.8967
-0.6523 -1.8745 6.0865
-1.2972 1.5022 6.0865
-1.9495 -0.3723 14.7469
1.9495 0.3723 6.0865
1.2972 -1.5022 14.7469
0.6523 1.8745 14.7469
```

Values from the calculation:
- Calculated volume: 490.56 Å³/cell
- Uncorrected energy: -66.4 eV per cell
- Theoretical density: 8422 kg/m³
- Magnetic moment: 0.00 μB per cell


Density functional theory data (GGA-PBE) for MnFe2Se after structural relaxation.

Structure (POSCAR):
```
MnFe2Se
1.0
-2.5280 2.5280 5.1096
2.5280 -2.5280 5.1096
2.5280 2.5280 -5.1096
Mn Fe Se
2 4 2
Cartesian
0.0000 0.0000 0.0000
0.0000 2.5280 2.5548
3.7920 1.1240 -1.2774
1.1240 1.2640 1.2774
-1.2640 1.4040 3.8322
1.4040 1.2640 6.3870
2.5280 0.0000 2.5548
0.0000 0.0000 5.1096
```

Values from the calculation:
- Calculated volume: 130.62 Å³/cell
- Uncorrected energy: -53.4 eV per cell
- Theoretical density: 6244 kg/m³
- Formation energy (no corrections): 0.71 eV/atom
- Magnetic moment: 0.00 μB per cell


Density functional theory data (GGA-PBE) for BaLiU2N4 after structural relaxation.

Structure (POSCAR):
```
BaLiU2N4
1.0
1.8006 -5.8194 0.0000
1.8006 5.8194 0.0000
0.0000 0.0000 11.4976
Ba Li U N
2 2 4 8
Cartesian
1.8006 4.6458 8.6232
1.8006 -4.6458 2.8744
1.8006 3.8217 2.8744
1.8006 -3.8217 8.6232
1.8006 1.5165 6.4044
1.8006 1.5165 10.8421
1.8006 -1.5165 0.6555
1.8006 -1.5165 5.0933
0.0000 0.0000 0.0000
0.0000 0.0000 5.7488
1.8006 2.9133 1.0885
1.8006 2.9133 4.6603
1.8006 1.0151 8.6232
1.8006 -1.0151 2.8744
1.8006 -2.9133 6.8373
1.8006 -2.9133 10.4091
```

Values from the calculation:
- Calculated volume: 240.95 Å³/cell
- Uncorrected energy: -138.0 eV per cell
- Theoretical density: 9322 kg/m³
- Formation energy (no corrections): -1.16 eV/atom
- Magnetic moment: 5.97 μB per cell